[1]
The following is a PBE calculation of Sb3RhW after structural relaxation, from Alexandria.

```
Sb3RhW
1.0
5.171 0.000 0.000
0.000 5.171 0.000
0.000 0.000 5.171
Rh Sb W
1 3 1
Cartesian
2.585 2.585 2.585
2.585 0.000 0.000
0.000 0.000 2.585
0.000 2.585 0.000
0.000 0.000 0.000
```

Results
formation energy from raw total energies: 5.2 eV/f.u.
calculated total energy: -5.496 eV per atom
volume: 27.7 Å³/atom
energy relative to the lowest polymorph listed for this composition: 0.0 meV/atom

***

[2]
The following is a PBE calculation of Sb2RhW after structural relaxation, from Alexandria.

```
Sb2RhW
1.0
1.140 -0.796 4.499
-3.371 -0.933 3.153
-0.405 -4.332 1.801
Sb W Rh
2 1 1
Cartesian
-1.977 -4.546 7.090
-0.659 -1.515 2.363
-1.318 -3.031 4.726
0.000 0.000 0.000
```

Results
formation energy from raw total energies: 1.2 eV/f.u.
calculated total energy: -6.849 eV per atom
volume: 18.5 Å³/atom
energy relative to the lowest polymorph listed for this composition: 193.8 meV/atom

***

[3]
The following is a PBE calculation of Sb2RhW after structural relaxation, from Alexandria.

```
Sb2RhW
1.0
-0.158 -1.648 2.472
-2.450 -2.398 -1.756
5.847 -4.198 -2.425
W Sb Rh
1 2 1
Cartesian
3.195 -2.294 -1.325
0.610 -3.397 -0.436
5.359 -3.847 -2.222
2.848 -5.004 -1.364
```

Results
formation energy from raw total energies: 0.6 eV/f.u.
calculated total energy: -6.997 eV per atom
volume: 21.8 Å³/atom
energy relative to the lowest polymorph listed for this composition: 46.1 meV/atom

***

[4]
The following is a PBE calculation of Sb2RhW after structural relaxation, from Alexandria.

```
Sb2RhW
1.0
8.403 -1.614 0.000
8.403 1.614 0.000
8.093 0.000 2.778
W Sb Rh
1 2 1
Cartesian
12.450 0.000 1.389
18.632 0.000 2.079
6.267 0.000 0.699
0.000 0.000 0.000
```

Results
formation energy from raw total energies: 1.1 eV/f.u.
calculated total energy: -6.870 eV per atom
volume: 18.8 Å³/atom
energy relative to the lowest polymorph listed for this composition: 172.4 meV/atom